(1)
! TlSi3N (PBE-GGA, relaxed); values from VASP
! Formation energy from raw total energies: 2601 meV per atom
! SG: Pm-3m (221)
&SYSTEM
  ibrav = 0, nat = 5, ntyp = 3
/
ATOMIC_SPECIES
Tl 204.38 Tl.upf
Si 28.09 Si.upf
N 14.01 N.upf
CELL_PARAMETERS angstrom
-3.166 -3.928 1.063
1.191 -2.183 -4.516
3.891 -2.527 2.248
ATOMIC_POSITIONS angstrom
Tl 0.000 0.000 0.000
Si 0.596 -1.091 -2.258
Si 1.946 -1.264 1.124
Si -1.583 -1.964 0.532
N 0.958 -4.319 -0.603

=====

(2)
! Tb3Zn9Au2 (PBE-GGA, relaxed); values from VASP
! ΔH_f (0 K): -40.0 kJ per mole of atoms
! SG: Immm (71)
&SYSTEM
  ibrav = 0, nat = 14, ntyp = 3
/
ATOMIC_SPECIES
Tb 158.93 Tb.upf
Zn 65.41 Zn.upf
Au 196.97 Au.upf
CELL_PARAMETERS angstrom
-4.192 1.198 0.207
-4.232 -6.292 -3.284
-3.447 -5.071 5.540
ATOMIC_POSITIONS angstrom
Tb -5.245 -2.598 0.827
Tb 0.000 0.000 0.000
Tb -6.625 -7.567 1.637
Zn -3.538 -4.240 -1.099
Zn -2.576 -1.352 1.668
Zn -8.679 -6.464 -0.334
Zn -9.078 -8.476 3.233
Zn -3.839 -5.681 1.128
Zn -2.793 -1.689 -0.769
Zn -3.191 -3.701 2.797
Zn -8.333 -5.925 3.563
Zn -9.295 -8.813 0.795
Au -6.092 -5.326 -0.530
Au -5.778 -4.839 2.994

=====

(3)
! Y2Ga2Rh (PBE-GGA, relaxed); values from VASP
! ΔH_f (0 K): -38.3 kJ per mole of atoms
! SG: I4/mmm (139)
&SYSTEM
  ibrav = 0, nat = 5, ntyp = 3
/
ATOMIC_SPECIES
Rh 102.91 Rh.upf
Y 88.91 Y.upf
Ga 69.72 Ga.upf
CELL_PARAMETERS angstrom
-2.434 -1.378 -2.269
2.340 0.338 -2.717
2.947 -8.436 -0.899
ATOMIC_POSITIONS angstrom
Rh 0.000 0.000 0.000
Y 0.524 -2.029 -2.189
Y 2.329 -7.447 -3.696
Ga 0.233 -5.167 -2.830
Ga 2.620 -4.309 -3.054

=====

(4)
! CdSi2Hg (PBE-GGA, relaxed); values from VASP
! Formation energy from raw total energies: 532 meV per atom
! SG: Cmmm (65)
&SYSTEM
  ibrav = 0, nat = 4, ntyp = 3
/
ATOMIC_SPECIES
Cd 112.41 Cd.upf
Si 28.09 Si.upf
Hg 200.59 Hg.upf
CELL_PARAMETERS angstrom
2.965 -0.082 0.000
-1.572 2.515 0.000
0.000 0.000 11.086
ATOMIC_POSITIONS angstrom
Cd 0.697 1.217 2.772
Si 0.000 0.000 0.100
Si 0.000 0.000 5.443
Hg 0.697 1.217 8.315

=====

no.,total moment (Bohr magnetons per cell)
1,0.00
2,0.00
3,0.00
4,0.00